Crystalline Sm3TlCCl at its relaxed geometry, computed with PBE-GGA.

Lattice parameters (Å, degrees): 8.355 3.729 10.531 90.00 100.15 90.00
Positions (direct):
Sm 0.085 0.250 0.390
Sm 0.116 0.250 0.866
Sm 0.349 0.750 0.654
Sm 0.651 0.250 0.346
Sm 0.884 0.750 0.134
Sm 0.915 0.750 0.610
Tl 0.303 0.750 0.231
Tl 0.697 0.250 0.769
C 0.143 0.250 0.637
C 0.857 0.750 0.363
Cl 0.363 0.750 0.916
Cl 0.637 0.250 0.084

Calculated values
symmetry: P2_1/m, No. 11
DOS(E_F): 4.6 states/eV/f.u.
ΔE_f (raw): -55 kJ/mol of atoms
raw total energy: -62.0 eV/cell